Entry 1:
A plane-wave DFT calculation with PBE was carried out for crystalline CoPAu at its relaxed geometry.

Calculated values
* DFT formation energy: 0.038 eV per atom
* raw total energy: -5.226 eV per atom

a = 2.879 Å, b = 2.879 Å, c = 6.279 Å
α = 90.00°, β = 90.00°, γ = 120.00°
Fractional coordinates of all 3 atoms:
Co 0.000 0.000 0.000
P 0.333 0.667 0.223
Au 0.667 0.333 0.646

***

Entry 2:
A plane-wave DFT calculation with PBE was carried out for crystalline SmI2 at its relaxed geometry.

Calculated values
* raw total energy: -3.906 eV per atom

a = 4.175 Å, b = 4.175 Å, c = 33.729 Å
α = 90.00°, β = 90.00°, γ = 120.00°
Fractional coordinates of all 12 atoms:
Sm 0.243 0.244 0.123
Sm 0.244 0.243 0.877
Sm 0.756 0.757 0.377
Sm 0.757 0.756 0.623
I 0.089 0.424 0.315
I 0.089 0.424 0.438
I 0.424 0.089 0.562
I 0.424 0.089 0.685
I 0.576 0.911 0.062
I 0.576 0.911 0.185
I 0.911 0.576 0.815
I 0.911 0.576 0.938

***

Entry 3:
A plane-wave DFT calculation with PBE was carried out for crystalline La2SbOsPd at its relaxed geometry.

Calculated values
* raw total energy: -5.365 eV per atom

a = 5.947 Å, b = 5.947 Å, c = 4.775 Å
α = 90.00°, β = 90.00°, γ = 90.00°
Fractional coordinates of all 5 atoms:
La 0.000 0.500 0.000
La 0.500 0.000 0.000
Sb 0.000 0.000 0.000
Os 0.500 0.500 0.500
Pd 0.000 0.000 0.500

***

Entry 4:
A plane-wave DFT calculation with PBE was carried out for crystalline Sm5Ho6Er at its relaxed geometry.

Calculated values
* DFT formation energy: 0.113 eV per atom
* raw total energy: -4.522 eV per atom

a = 10.102 Å, b = 10.102 Å, c = 10.102 Å
α = 146.36°, β = 136.77°, γ = 55.86°
Fractional coordinates of all 12 atoms:
Sm 0.000 0.000 0.000
Sm 0.176 0.676 0.500
Sm 0.322 0.322 0.000
Sm 0.678 0.678 0.000
Sm 0.824 0.324 0.500
Ho 0.098 0.844 0.254
Ho 0.254 0.500 0.754
Ho 0.409 0.156 0.254
Ho 0.591 0.844 0.746
Ho 0.746 0.500 0.246
Ho 0.902 0.156 0.746
Er 0.500 0.000 0.500

***

Entry 5:
A plane-wave DFT calculation with PBE was carried out for crystalline ErSc2In at its relaxed geometry.

Calculated values
* DFT formation energy: -0.151 eV per atom
* raw total energy: -5.142 eV per atom
* offset from the most stable computed form: 113 meV/atom

a = 5.192 Å, b = 5.192 Å, c = 5.192 Å
α = 60.00°, β = 60.00°, γ = 60.00°
Fractional coordinates of all 4 atoms:
Er 0.000 0.000 0.000
Sc 0.500 0.500 0.500
Sc 0.750 0.750 0.750
In 0.250 0.250 0.250